# AgPd2Pt, relaxed, DFT GGA-PBE
data_AgPd2Pt
_chemical_formula_sum 'Ag3 Pd6 Pt3'
_cell_length_a 2.8022
_cell_length_b 2.8022
_cell_length_c 28.1696
_cell_angle_alpha 90.00
_cell_angle_beta 90.00
_cell_angle_gamma 120.00
_symmetry_space_group_name_H-M 'R 3 m'
_symmetry_Int_Tables_number 160
_symmetry_space_group_name_Hall 'R 3 -2"'
loop_
_atom_site_label
_atom_site_fract_x
_atom_site_fract_y
_atom_site_fract_z
Ag1 0.0000 0.0000 0.0000
Pd1 0.0000 0.0000 0.5824
Pd2 0.0000 0.0000 0.7514
Pt1 0.0000 0.0000 0.1671
# E_form in eV/atom: -0.01
# Total moment in μB per atom: 0.000